{"formula": "BaN3O", "functional": "PBE", "state": "optimized geometry", "raw_formation_energy_ev_per_atom": 2.6608, "volume_a3_per_cell": 133, "dos_ef_per_ev_atom": 2.04, "lattice": [[5.105, 0.000, 0.000], [0.000, 5.105, 0.000], [0.000, 0.000, 5.105]], "species": ["N", "N", "N", "Ba", "O"], "fractional_positions": [[0.500, 0.000, 0.000], [0.000, 0.500, 0.000], [0.000, 0.000, 0.500], [0.000, 0.000, 0.000], [0.500, 0.500, 0.500]]}